A relaxed Sc2Tl crystal, computed with PBE.

a b c (Å): 5.0590 5.0590 6.3094
angles (deg): 90.00 90.00 120.00
With the nearest neighbours (Å) after each atom.
Element x y z (fractional)
Sc1 0.0000 0.0000 0.0000  8 Sc 3.15-3.32, 6 Tl 3.32
Sc2 0.0000 0.0000 0.5000  8 Sc 3.15-3.32, 6 Tl 3.32
Sc3 0.3333 0.6667 0.2500  5 Tl 2.92-3.15
Sc4 0.6667 0.3333 0.7500  5 Tl 2.92-3.15
Tl1 0.3333 0.6667 0.7500  5 Sc 2.92-3.15
Tl2 0.6667 0.3333 0.2500  5 Sc 2.92-3.15

Calculated values
* total magnetization: 1.6 Bohr magnetons per cell
* SG: No. 194

A relaxed Sc2Tl crystal, computed with PBE.

a b c (Å): 9.3939 9.3939 9.3939
angles (deg): 60.00 60.00 60.00
With the nearest neighbours (Å) after each atom.
Element x y z (fractional)
Sc1 0.0000 0.0000 0.0000  6 Tl 2.98
Sc2 0.0000 0.0000 0.5000  6 Tl 2.98
Sc3 0.0000 0.5000 0.0000  6 Tl 2.98
Sc4 0.1868 0.1868 0.5632  2 Tl 2.94
Sc5 0.1868 0.5632 0.1868  2 Tl 2.94
Sc6 0.1868 0.5632 0.5632  2 Tl 2.94
Sc7 0.4368 0.4368 0.8132  2 Tl 2.94
Sc8 0.4368 0.8132 0.4368  2 Tl 2.94
Sc9 0.4368 0.8132 0.8132  2 Tl 2.94
Sc10 0.5000 0.0000 0.0000  6 Tl 2.98
Sc11 0.5632 0.1868 0.1868  2 Tl 2.94
Sc12 0.5632 0.1868 0.5632  2 Tl 2.94
Sc13 0.5632 0.5632 0.1868  2 Tl 2.94
Sc14 0.8132 0.4368 0.4368  2 Tl 2.94
Sc15 0.8132 0.4368 0.8132  2 Tl 2.94
Sc16 0.8132 0.8132 0.4368  2 Tl 2.94
Tl1 0.1606 0.7798 0.7798  6 Sc 2.94-2.98
Tl2 0.2202 0.2202 0.2202  6 Sc 2.94-2.98
Tl3 0.2202 0.2202 0.8394  6 Sc 2.94-2.98
Tl4 0.2202 0.8394 0.2202  6 Sc 2.94-2.98
Tl5 0.7798 0.1606 0.7798  6 Sc 2.94-2.98
Tl6 0.7798 0.7798 0.1606  6 Sc 2.94-2.98
Tl7 0.7798 0.7798 0.7798  6 Sc 2.94-2.98
Tl8 0.8394 0.2202 0.2202  6 Sc 2.94-2.98

Calculated values
* total magnetization: 6.0 Bohr magnetons per cell
* SG: No. 227

A relaxed Sc2Tl crystal, computed with PBE.

a b c (Å): 8.0983 8.0983 5.0148
angles (deg): 90.00 90.00 154.44
With the nearest neighbours (Å) after each atom.
Element x y z (fractional)
Sc1 0.0852 0.9148 0.7500  6 Tl 3.08-3.24, 2 Sc 3.28
Sc2 0.2407 0.7593 0.2500  2 Tl 3.03, 6 Sc 3.10-3.28
Sc3 0.7593 0.2407 0.7500  2 Tl 3.03, 6 Sc 3.10-3.28
Sc4 0.9148 0.0852 0.2500  6 Tl 3.08-3.24, 2 Sc 3.28
Tl1 0.4139 0.5861 0.7500  8 Sc 3.03-3.24
Tl2 0.5861 0.4139 0.2500  8 Sc 3.03-3.24

Calculated values
* total magnetization: 0.0 Bohr magnetons per cell
* SG: No. 63

A relaxed ScTl5 crystal, computed with PBE.

a b c (Å): 6.3050 6.3050 6.3050
angles (deg): 60.00 60.00 60.00
With the nearest neighbours (Å) after each atom.
Element x y z (fractional)
Sc1 0.0000 0.0000 0.0000  16 Tl 3.70-3.86
Tl1 0.3749 0.3749 0.3749  6 Tl 3.15-3.16
Tl2 0.3749 0.3749 0.8754  6 Tl 3.15-3.16
Tl3 0.3749 0.8754 0.3749  6 Tl 3.15-3.16
Tl4 0.7500 0.7500 0.7500  12 Tl 3.70, 4 Sc 3.86
Tl5 0.8754 0.3749 0.3749  6 Tl 3.15-3.16

Calculated values
* total magnetization: 0.0 Bohr magnetons per cell
* SG: No. 216

A relaxed Tm2ScTl2 crystal, computed with PBE.

a b c (Å): 6.0084 6.0084 6.0084
angles (deg): 134.79 113.44 84.13
With the nearest neighbours (Å) after each atom.
Element x y z (fractional)
Tm1 0.1955 0.1955 0.0000  6 Tl 3.26, 1 Tm 3.49, 2 Sc 3.57
Tm2 0.8045 0.8045 0.0000  6 Tl 3.26, 1 Tm 3.49, 2 Sc 3.57
Sc1 0.5000 0.0000 0.5000  4 Tl 2.93
Tl1 0.2271 0.5000 0.7271  2 Sc 2.93, 1 Tl 2.99, 6 Tm 3.26
Tl2 0.7729 0.5000 0.2729  2 Sc 2.93, 1 Tl 2.99, 6 Tm 3.26

Calculated values
* total magnetization: 0.0 Bohr magnetons per cell
* SG: No. 71

A relaxed Tm3Sc2Tl crystal, computed with PBE.

a b c (Å): 8.7250 8.7250 6.7356
angles (deg): 90.00 90.00 40.20
With the nearest neighbours (Å) after each atom.
Element x y z (fractional)
Tm1 0.1564 0.2238 0.7500  4 Sc 3.31-3.38, 5 Tm 3.36-3.58, 1 Tl 3.52
Tm2 0.1781 0.8219 0.7500  2 Tl 2.91-3.08
Tm3 0.2238 0.1564 0.2500  4 Sc 3.31-3.38, 5 Tm 3.36-3.58, 1 Tl 3.52
Tm4 0.7762 0.8436 0.7500  4 Sc 3.31-3.38, 5 Tm 3.36-3.58, 1 Tl 3.52
Tm5 0.8219 0.1781 0.2500  2 Tl 2.91-3.08
Tm6 0.8436 0.7762 0.2500  4 Sc 3.31-3.38, 5 Tm 3.36-3.58, 1 Tl 3.52
Sc1 0.3637 0.3637 0.0000  2 Tl 3.02, 4 Tm 3.31-3.38, 2 Sc 3.37
Sc2 0.3637 0.3637 0.5000  2 Tl 3.02, 4 Tm 3.31-3.38, 2 Sc 3.37
Sc3 0.6363 0.6363 0.0000  2 Tl 3.02, 4 Tm 3.31-3.38, 2 Sc 3.37
Sc4 0.6363 0.6363 0.5000  2 Tl 3.02, 4 Tm 3.31-3.38, 2 Sc 3.37
Tl1 0.3079 0.6921 0.2500  2 Tm 2.91-3.08, 4 Sc 3.02
Tl2 0.6921 0.3079 0.7500  2 Tm 2.91-3.08, 4 Sc 3.02

Calculated values
* total magnetization: 1.0 Bohr magnetons per cell
* SG: No. 63

A relaxed TmSc7Tl2 crystal, computed with PBE.

a b c (Å): 8.4542 8.4542 5.0939
angles (deg): 90.00 90.00 120.46
With the nearest neighbours (Å) after each atom.
Element x y z (fractional)
Tm1 0.0000 0.0000 0.0000  10 Sc 3.27-3.43
Sc1 0.0580 0.2959 0.5000  2 Tl 2.93-3.11, 2 Sc 2.97-3.23
Sc2 0.2228 0.7772 0.0000  2 Tl 2.82
Sc3 0.2959 0.0580 0.5000  2 Tl 2.93-3.11, 2 Sc 2.97-3.23
Sc4 0.5000 0.5000 0.5000  2 Tl 2.86
Sc5 0.7041 0.9420 0.5000  2 Tl 2.93-3.11, 2 Sc 2.97-3.23
Sc6 0.7772 0.2228 0.0000  2 Tl 2.82
Sc7 0.9420 0.7041 0.5000  2 Tl 2.93-3.11, 2 Sc 2.97-3.23
Tl1 0.3048 0.6952 0.5000  7 Sc 2.82-3.11
Tl2 0.6952 0.3048 0.5000  7 Sc 2.82-3.11

Calculated values
* total magnetization: 1.4 Bohr magnetons per cell
* SG: No. 65

A relaxed Tm3ScTl5 crystal, computed with PBE.

a b c (Å): 9.1784 9.1784 6.4447
angles (deg): 90.00 90.00 120.00
With the nearest neighbours (Å) after each atom.
Element x y z (fractional)
Tm1 0.0000 0.3706 0.2500  9 Tl 3.10-3.32
Tm2 0.0000 0.6294 0.7500  9 Tl 3.10-3.32
Tm3 0.3706 0.0000 0.2500  9 Tl 3.10-3.32
Tm4 0.3706 0.3706 0.7500  9 Tl 3.10-3.32
Tm5 0.6294 0.0000 0.7500  9 Tl 3.10-3.32
Tm6 0.6294 0.6294 0.2500  9 Tl 3.10-3.32
Sc1 0.0000 0.0000 0.0000  6 Tl 3.11, 2 Sc 3.22
Sc2 0.0000 0.0000 0.5000  6 Tl 3.11, 2 Sc 3.22
Tl1 0.0000 0.2903 0.7500  5 Tm 3.10-3.31, 2 Sc 3.11
Tl2 0.0000 0.7097 0.2500  5 Tm 3.10-3.31, 2 Sc 3.11
Tl3 0.2903 0.0000 0.7500  5 Tm 3.10-3.31, 2 Sc 3.11
Tl4 0.2903 0.2903 0.2500  5 Tm 3.10-3.31, 2 Sc 3.11
Tl5 0.3333 0.6667 0.0000  2 Tl 3.22, 6 Tm 3.32
Tl6 0.3333 0.6667 0.5000  2 Tl 3.22, 6 Tm 3.32
Tl7 0.6667 0.3333 0.0000  2 Tl 3.22, 6 Tm 3.32
Tl8 0.6667 0.3333 0.5000  2 Tl 3.22, 6 Tm 3.32
Tl9 0.7097 0.0000 0.2500  5 Tm 3.10-3.31, 2 Sc 3.11
Tl10 0.7097 0.7097 0.7500  5 Tm 3.10-3.31, 2 Sc 3.11

Calculated values
* total magnetization: 0.0 Bohr magnetons per cell
* SG: No. 193

Number 1: volume 139.85 Å³/cell, raw total energy -5.2851 eV/atom, E_form -0.83 eV/f.u.. Number 2: volume 586.17 Å³/cell, raw total energy -5.1948 eV/atom, E_form -0.56 eV/f.u.. Number 3: volume 141.90 Å³/cell, raw total energy -5.2235 eV/atom, E_form -0.64 eV/f.u.. Number 4: volume 177.23 Å³/cell, raw total energy -2.8274 eV/atom, E_form 1.20 eV/f.u.. Number 5: volume 135.86 Å³/cell, raw total energy -4.2108 eV/atom, E_form -1.05 eV/f.u.. Number 6: volume 330.99 Å³/cell, raw total energy -4.8024 eV/atom, E_form -0.37 eV/f.u.. Number 7: volume 313.83 Å³/cell, raw total energy -4.9575 eV/atom, E_form 3.95 eV/f.u.. Number 8: volume 470.18 Å³/cell, raw total energy -3.7589 eV/atom, E_form -2.25 eV/f.u..